[1]
5
Lattice="-1.2145 1.0830 5.1623 -4.3835 -2.6967 -0.4655 2.5964 -4.4884 1.5525" Properties=species:S:1:pos:R:3 comment="CdIn2HgRh | Alexandria | PBE-GGA | relaxed" m_tot_mub_per_cell=0.0 sg=P4/mmm n_ef_per_ev_cell=3.75 delta_e_f_mev_per_atom=747 pbc="T T T"
Cd -1.5008 -3.0510 3.1246
Rh -2.1917 -1.3483 -0.2328
Hg 0.0000 0.0000 0.0000
In 1.2982 -2.2442 0.7762
In -0.6072 0.5415 2.5812

---

[2]
5
Lattice="4.9535 0.0000 0.0000 0.0000 4.9535 0.0000 0.0000 0.0000 4.9535" Properties=species:S:1:pos:R:3 comment="TeMoP3 | Alexandria | PBE-GGA | relaxed" m_tot_mub_per_cell=2.7 sg=Pm-3m n_ef_per_ev_cell=2.83 formation_energy_uncorrected_mev_per_atom=1731 pbc="T T T"
P 0.0000 2.4768 0.0000
P 0.0000 0.0000 2.4768
P 2.4768 0.0000 0.0000
Mo 2.4768 2.4768 2.4768
Te 0.0000 0.0000 0.0000